No. 1
VASP calculation (PBE-GGA) on a relaxed PaNi5Sn crystal.

Results
Crystal system   orthorhombic
Electronic total energy   -6.44 eV/atom

Unit cell a=8.032 b=4.892 c=10.251 alpha=90.00 beta=90.00 gamma=90.00
Space group Pnma (No. 62)
One atom of each set of equivalent atoms:
Pa (0.240, 0.250, 0.055) (multiplicity 4)
Ni (0.065, 0.250, 0.600) (multiplicity 4)
Ni (0.073, 0.501, 0.812) (multiplicity 8)
Ni (0.091, 0.750, 0.019) (multiplicity 4)
Ni (0.178, 0.750, 0.249) (multiplicity 4)
Sn (0.136, 0.250, 0.357) (multiplicity 4)

***

No. 2
VASP calculation (PBE-GGA) on a relaxed PaNi2Sn crystal.

Results
Crystal system   tetragonal
E above lowest polymorph   192 meV per atom

Unit cell a=3.145 b=3.145 c=6.932 alpha=90.00 beta=90.00 gamma=90.00
Space group P4/mmm (No. 123)
One atom of each set of equivalent atoms:
Pa (0.000, 0.000, 0.000) (multiplicity 1)
Ni (0.500, 0.500, 0.270) (multiplicity 2)
Sn (0.000, 0.000, 0.500) (multiplicity 1)

***

| no. | DOS at the Fermi energy (states/eV per atom) | M_tot (μB per formula unit) |
| --- | --- | --- |
| 1 | 0.999 | 0.00 |
| 2 | 1.054 | 0.00 |